No. 1
FeAuBr3 | PBE | relaxed

Cell lengths 5.058, 5.058, 5.058 Å; angles 90.00, 90.00, 90.00 degrees
Sites, in units of the cell vectors:
Fe 0.000 0.000 0.000
Au 0.500 0.500 0.500
Br 0.000 0.000 0.500
Br 0.000 0.500 0.000
Br 0.500 0.000 0.000

Results
DOS at the Fermi energy = 4.13 states/eV/f.u.
ΔE to the lowest computed polymorph = 0 meV per atom
electronic total energy = -3.145 eV per atom
symmetry = No. 221
uncorrected formation energy = 0.2070 eV/atom

---

No. 2
ZrOs8 | PBE | relaxed

Cell lengths 6.227, 6.227, 6.227 Å; angles 95.65, 95.65, 143.41 degrees
Sites, in units of the cell vectors:
Zr 0.000 0.000 0.000
Os 0.000 0.342 0.342
Os 0.000 0.658 0.658
Os 0.324 0.324 0.648
Os 0.324 0.676 0.000
Os 0.342 0.000 0.342
Os 0.658 0.000 0.658
Os 0.676 0.324 0.000
Os 0.676 0.676 0.352

Results
DOS at the Fermi energy = 9.08 states/eV/f.u.
electronic total energy = -10.860 eV per atom
symmetry = No. 139
calculated formation energy = 0.072 eV/atom

---

No. 3
Hg2IrCl | PBE | relaxed

Cell lengths 3.357, 3.357, 8.773 Å; angles 100.87, 100.87, 60.63 degrees
Sites, in units of the cell vectors:
Hg 0.081 0.081 0.265
Hg 0.919 0.919 0.735
Ir 0.500 0.500 0.500
Cl 0.500 0.500 0.000

Results
DOS at the Fermi energy = 2.83 states/eV/f.u.
ΔE to the lowest computed polymorph = 202 meV per atom
electronic total energy = -2.485 eV per atom
symmetry = No. 12
uncorrected formation energy = 0.3433 eV/atom

---

No. 4
CePmTlSb | PBE | relaxed

Cell lengths 5.470, 5.470, 5.470 Å; angles 60.00, 60.00, 60.00 degrees
Sites, in units of the cell vectors:
Ce 0.000 0.000 0.000
Pm 0.500 0.500 0.500
Tl 0.750 0.750 0.750
Sb 0.250 0.250 0.250

Results
DOS at the Fermi energy = 9.29 states/eV/f.u.
electronic total energy = -4.818 eV per atom
symmetry = No. 216
uncorrected formation energy = -0.5252 eV/atom

---

No. 5
Sr2AlAu | PBE | relaxed

Cell lengths 8.322, 8.322, 8.322 Å; angles 31.86, 31.86, 31.86 degrees
Sites, in units of the cell vectors:
Sr 0.000 0.000 0.000
Sr 0.174 0.174 0.174
Al 0.420 0.420 0.420
Au 0.754 0.754 0.754

Results
DOS at the Fermi energy = 3.35 states/eV/f.u.
electronic total energy = -3.067 eV per atom
symmetry = No. 160
calculated formation energy = -0.471 eV/atom

---

No. 6
TiNb2Hg | PBE | relaxed

Cell lengths 10.546, 10.546, 10.546 Å; angles 158.43, 158.43, 30.69 degrees
Sites, in units of the cell vectors:
Ti 0.000 0.000 0.000
Ti 0.750 0.250 0.500
Nb 0.114 0.625 0.989
Nb 0.375 0.364 0.489
Nb 0.636 0.125 0.011
Nb 0.875 0.886 0.511
Hg 0.250 0.750 0.500
Hg 0.500 0.500 0.000

Results
DOS at the Fermi energy = 3.06 states/eV/f.u.
electronic total energy = -6.603 eV per atom
symmetry = No. 122
calculated formation energy = 0.481 eV/atom